1.
Material: KAu2Cl
Method: DFT, PBE-GGA
State: relaxed

## Properties
energy relative to the lowest polymorph listed for this composition = 24 kJ/mol of formula units
formation energy (no corrections) = -50 kJ per mole of atoms
symmetry = P4/mmm, No. 123
spin magnetization = 0.00 μB/f.u.

Geometry as POSCAR:
```
KAu2Cl
1.0
6.879 0.000 0.000
0.000 3.986 0.000
0.000 0.000 3.986
Au Cl K
2 1 1
direct
0.000 0.000 0.000
0.000 0.500 0.500
0.500 0.500 0.000
0.500 0.000 0.500
```

---

2.
Material: Nd5Zn2Cd2
Method: DFT, PBE-GGA
State: relaxed

## Properties
symmetry = Cmce, No. 64
spin magnetization = 0.00 μB/f.u.
formation enthalpy at 0 K = -198 meV/atom

Geometry as POSCAR:
```
Nd5Zn2Cd2
1.0
7.750 0.000 0.000
0.000 7.516 0.000
0.000 -3.758 8.926
Nd Cd Zn
10 4 4
direct
0.185 0.444 0.266
0.000 0.000 0.000
0.315 0.944 0.266
0.685 0.322 0.266
0.815 0.822 0.266
0.185 0.178 0.734
0.685 0.056 0.734
0.500 0.500 0.000
0.815 0.556 0.734
0.315 0.678 0.734
0.000 0.773 0.546
0.500 0.273 0.546
0.000 0.227 0.454
0.500 0.727 0.454
0.380 0.112 0.000
0.120 0.612 0.000
0.620 0.888 0.000
0.880 0.388 0.000
```

---

3.
Material: Ac7La12Dy
Method: DFT, PBE-GGA
State: relaxed

## Properties
symmetry = R-3, No. 148
spin magnetization = 0.00 μB/f.u.
formation enthalpy at 0 K = 244 meV/atom

Geometry as POSCAR:
```
Ac7La12Dy
1.0
6.571 0.000 -1.352
-3.377 10.196 -5.315
0.183 0.000 11.982
Ac La Dy
7 12 1
direct
0.880 0.999 0.257
0.377 0.257 0.258
0.623 0.743 0.742
0.120 0.001 0.743
0.881 0.258 0.001
0.500 0.000 0.000
0.119 0.742 0.999
0.095 0.596 0.191
0.939 0.362 0.363
0.424 0.363 0.000
0.500 0.405 0.596
0.500 0.595 0.404
0.095 0.191 0.595
0.061 0.638 0.637
0.905 0.809 0.405
0.577 0.000 0.638
0.576 0.637 0.000
0.905 0.404 0.809
0.423 0.000 0.362
0.000 0.000 0.000
```

---

4.
Material: Er6GaRu2
Method: DFT, PBE-GGA
State: relaxed

## Properties
symmetry = Immm, No. 71
spin magnetization = 0.00 μB/f.u.
formation enthalpy at 0 K = -416 meV/atom

Geometry as POSCAR:
```
Er6GaRu2
1.0
-6.961 -0.419 4.546
5.347 -6.153 1.687
4.412 6.875 1.602
Er Ga Ru
12 2 4
direct
0.463 0.283 0.180
0.897 0.717 0.180
0.198 0.243 0.441
0.802 0.757 0.559
0.103 0.283 0.820
0.311 0.978 0.667
0.198 0.757 0.956
0.689 0.356 0.667
0.689 0.022 0.333
0.802 0.243 0.044
0.537 0.717 0.820
0.311 0.644 0.333
0.000 0.500 0.500
0.000 0.000 0.000
0.500 0.631 0.131
0.321 0.000 0.321
0.679 0.000 0.679
0.500 0.369 0.869
```

---

It is found that the energy values, taken in the order of the records, are -2.89 -3.33 -4.38 -5.86 eV per atom.